# La3BiN PBE optimized geometry
# Uncorrected formation energy in eV per formula unit: -4.55
data_La3BiN
_cell_length_a 9.028
_cell_length_b 9.244
_cell_length_c 6.998
_cell_angle_alpha 90.00
_cell_angle_beta 90.11
_cell_angle_gamma 90.00
_symmetry_space_group_name_H-M 'C 1 m 1'
_symmetry_Int_Tables_number 8
loop_
_symmetry_equiv_pos_as_xyz
'x,y,z'
'x,-y,z'
'x+1/2,y+1/2,z'
'x+1/2,-y+1/2,z'
loop_
_atom_site_label
_atom_site_type_symbol
_atom_site_fract_x
_atom_site_fract_y
_atom_site_fract_z
La1 La 0.000 0.000 0.000
La2 La 0.001 0.000 0.500
La3 La 0.079 0.500 0.995
La4 La 0.080 0.500 0.502
La5 La 0.289 0.218 0.249
Bi1 Bi 0.290 0.229 0.749
N1 N 0.279 0.500 0.249
N2 N 0.420 0.000 0.249

***

# Ac2Cd5In3 PBE optimized geometry
# Formation energy from the elements in meV per atom: -320.1
# Excess energy over the best structure of this formula in the dataset in meV/atom: 0
data_Ac2Cd5In3
_cell_length_a 12.130
_cell_length_b 13.476
_cell_length_c 6.767
_cell_angle_alpha 90.00
_cell_angle_beta 90.00
_cell_angle_gamma 90.00
_symmetry_space_group_name_H-M 'I b a m'
_symmetry_Int_Tables_number 72
_symmetry_space_group_name_Hall '-I 2 2c'
loop_
_atom_site_label
_atom_site_type_symbol
_atom_site_fract_x
_atom_site_fract_y
_atom_site_fract_z
Ac1 Ac 0.248 0.124 0.000
Cd1 Cd 0.000 0.253 0.250
Cd2 Cd 0.000 0.500 0.250
Cd3 Cd 0.133 0.128 0.500
In1 In 0.000 0.000 0.250
In2 In 0.139 0.375 0.000

***

# SiPtO2F PBE optimized geometry
# Uncorrected formation energy in eV per formula unit: -4.12
data_SiPtO2F
_cell_length_a 3.608
_cell_length_b 3.608
_cell_length_c 3.865
_cell_angle_alpha 90.00
_cell_angle_beta 90.00
_cell_angle_gamma 90.00
_symmetry_space_group_name_H-M 'P 4/m m m'
_symmetry_Int_Tables_number 123
_symmetry_space_group_name_Hall '-P 4 2'
loop_
_atom_site_label
_atom_site_type_symbol
_atom_site_fract_x
_atom_site_fract_y
_atom_site_fract_z
Si1 Si 0.000 0.000 0.000
Pt1 Pt 0.500 0.500 0.500
O1 O 0.000 0.500 0.000
F1 F 0.000 0.000 0.500

***

# MgSiW PBE optimized geometry
# Uncorrected formation energy in eV per formula unit: 0.07
data_MgSiW
_cell_length_a 3.150
_cell_length_b 14.179
_cell_length_c 4.653
_cell_angle_alpha 90.00
_cell_angle_beta 90.00
_cell_angle_gamma 90.00
_symmetry_space_group_name_H-M 'I m m 2'
_symmetry_Int_Tables_number 44
loop_
_symmetry_equiv_pos_as_xyz
'x,y,z'
'-x,-y,z'
'-x,y,z'
'x,-y,z'
'x+1/2,y+1/2,z+1/2'
'-x+1/2,-y+1/2,z+1/2'
'-x+1/2,y+1/2,z+1/2'
'x+1/2,-y+1/2,z+1/2'
loop_
_atom_site_label
_atom_site_type_symbol
_atom_site_fract_x
_atom_site_fract_y
_atom_site_fract_z
Mg1 Mg 0.000 0.175 0.000
Si1 Si 0.000 0.367 0.997
W1 W 0.000 0.000 0.656
W2 W 0.000 0.500 0.625

***

# InS2BrCl PBE optimized geometry
# Uncorrected formation energy in eV per formula unit: 2.21
# Excess energy over the best structure of this formula in the dataset in meV/atom: 153
data_InS2BrCl
_cell_length_a 4.723
_cell_length_b 4.723
_cell_length_c 6.524
_cell_angle_alpha 90.00
_cell_angle_beta 90.00
_cell_angle_gamma 90.00
_symmetry_space_group_name_H-M 'P 4/m m m'
_symmetry_Int_Tables_number 123
_symmetry_space_group_name_Hall '-P 4 2'
loop_
_atom_site_label
_atom_site_type_symbol
_atom_site_fract_x
_atom_site_fract_y
_atom_site_fract_z
In1 In 0.000 0.000 0.000
S1 S 0.000 0.500 0.500
Br1 Br 0.500 0.500 0.500
Cl1 Cl 0.500 0.500 0.000

***

# CaMnNi2 PBE optimized geometry
# Formation energy from the elements in meV per atom: 219.8
# Excess energy over the best structure of this formula in the dataset in meV/atom: 242
data_CaMnNi2
_cell_length_a 2.924
_cell_length_b 3.443
_cell_length_c 6.462
_cell_angle_alpha 90.00
_cell_angle_beta 90.00
_cell_angle_gamma 90.00
_symmetry_space_group_name_H-M 'P m m 2'
_symmetry_Int_Tables_number 25
loop_
_symmetry_equiv_pos_as_xyz
'x,y,z'
'-x,-y,z'
'-x,y,z'
'x,-y,z'
loop_
_atom_site_label
_atom_site_type_symbol
_atom_site_fract_x
_atom_site_fract_y
_atom_site_fract_z
Ca1 Ca 0.000 0.000 0.000
Mn1 Mn 0.500 0.500 0.357
Ni1 Ni 0.000 0.000 0.519
Ni2 Ni 0.500 0.500 0.719

***

# FeNi2Br PBE optimized geometry
# Uncorrected formation energy in eV per formula unit: 1.37
# Excess energy over the best structure of this formula in the dataset in meV/atom: 70
data_FeNi2Br
_cell_length_a 3.129
_cell_length_b 3.129
_cell_length_c 5.935
_cell_angle_alpha 90.00
_cell_angle_beta 90.00
_cell_angle_gamma 90.00
_symmetry_space_group_name_H-M 'P 4/m m m'
_symmetry_Int_Tables_number 123
_symmetry_space_group_name_Hall '-P 4 2'
loop_
_atom_site_label
_atom_site_type_symbol
_atom_site_fract_x
_atom_site_fract_y
_atom_site_fract_z
Fe1 Fe 0.000 0.000 0.000
Ni1 Ni 0.500 0.500 0.204
Br1 Br 0.000 0.000 0.500

***

# DyHo6Tl5 PBE optimized geometry
# Formation energy from the elements in meV per atom: -179.5
# Excess energy over the best structure of this formula in the dataset in meV/atom: 84
data_DyHo6Tl5
_cell_length_a 10.366
_cell_length_b 11.120
_cell_length_c 6.216
_cell_angle_alpha 90.00
_cell_angle_beta 102.86
_cell_angle_gamma 90.00
_symmetry_space_group_name_H-M 'C 1 2/m 1'
_symmetry_Int_Tables_number 12
loop_
_symmetry_equiv_pos_as_xyz
'x,y,z'
'-x,-y,-z'
'-x,y,-z'
'x,-y,z'
'x+1/2,y+1/2,z'
'-x+1/2,-y+1/2,-z'
'-x+1/2,y+1/2,-z'
'x+1/2,-y+1/2,z'
loop_
_atom_site_label
_atom_site_type_symbol
_atom_site_fract_x
_atom_site_fract_y
_atom_site_fract_z
Dy1 Dy 0.000 0.000 0.000
Ho1 Ho 0.227 0.500 0.230
Ho2 Ho 0.229 0.324 0.739
Tl1 Tl 0.000 0.143 0.500
Tl2 Tl 0.000 0.304 0.000
Tl3 Tl 0.000 0.500 0.500

***

# Al3ZnCu4 PBE optimized geometry
# Formation energy from the elements in meV per atom: -172.9
data_Al3ZnCu4
_cell_length_a 8.630
_cell_length_b 5.486
_cell_length_c 4.497
_cell_angle_alpha 90.00
_cell_angle_beta 90.00
_cell_angle_gamma 90.00
_symmetry_space_group_name_H-M 'P m m a'
_symmetry_Int_Tables_number 51
loop_
_symmetry_equiv_pos_as_xyz
'x,y,z'
'-x,-y,-z'
'-x+1/2,-y,z'
'x+1/2,y,-z'
'x+1/2,-y,-z'
'-x+1/2,y,z'
'-x,y,-z'
'x,-y,z'
loop_
_atom_site_label
_atom_site_type_symbol
_atom_site_fract_x
_atom_site_fract_y
_atom_site_fract_z
Al1 Al 0.000 0.000 0.000
Al2 Al 0.250 0.000 0.388
Al3 Al 0.250 0.500 0.382
Zn1 Zn 0.000 0.500 0.000
Cu1 Cu 0.000 0.248 0.500
Cu2 Cu 0.250 0.249 0.874

***

# CrNiIr PBE optimized geometry
# Formation energy from the elements in meV per atom: 219.8
# Excess energy over the best structure of this formula in the dataset in meV/atom: 372
data_CrNiIr
_cell_length_a 2.818
_cell_length_b 4.337
_cell_length_c 12.591
_cell_angle_alpha 90.00
_cell_angle_beta 90.00
_cell_angle_gamma 90.00
_symmetry_space_group_name_H-M 'F m m 2'
_symmetry_Int_Tables_number 42
_symmetry_space_group_name_Hall 'F 2 -2'
loop_
_atom_site_label
_atom_site_type_symbol
_atom_site_fract_x
_atom_site_fract_y
_atom_site_fract_z
Cr1 Cr 0.000 0.000 0.000
Ni1 Ni 0.000 0.000 0.345
Ir1 Ir 0.000 0.000 0.668

***

# Pr3ScPb3 PBE optimized geometry
# Formation energy from the elements in meV per atom: -369.5
data_Pr3ScPb3
_cell_length_a 8.363
_cell_length_b 10.847
_cell_length_c 9.789
_cell_angle_alpha 90.00
_cell_angle_beta 91.16
_cell_angle_gamma 90.00
_symmetry_space_group_name_H-M 'C 1 2/m 1'
_symmetry_Int_Tables_number 12
loop_
_symmetry_equiv_pos_as_xyz
'x,y,z'
'-x,-y,-z'
'-x,y,-z'
'x,-y,z'
'x+1/2,y+1/2,z'
'-x+1/2,-y+1/2,-z'
'-x+1/2,y+1/2,-z'
'x+1/2,-y+1/2,z'
loop_
_atom_site_label
_atom_site_type_symbol
_atom_site_fract_x
_atom_site_fract_y
_atom_site_fract_z
Pr1 Pr 0.000 0.183 0.000
Pr2 Pr 0.000 0.233 0.500
Pr3 Pr 0.084 0.500 0.803
Sc1 Sc 0.208 0.500 0.462
Pb1 Pb 0.037 0.000 0.274
Pb2 Pb 0.235 0.295 0.241

***

# KPaTe2S6 PBE optimized geometry
# Uncorrected formation energy in eV per formula unit: -6.80
data_KPaTe2S6
_cell_length_a 7.169
_cell_length_b 7.216
_cell_length_c 8.183
_cell_angle_alpha 65.12
_cell_angle_beta 65.15
_cell_angle_gamma 60.80
_symmetry_space_group_name_H-M 'P 1'
_symmetry_Int_Tables_number 1
loop_
_symmetry_equiv_pos_as_xyz
'x,y,z'
loop_
_atom_site_label
_atom_site_type_symbol
_atom_site_fract_x
_atom_site_fract_y
_atom_site_fract_z
K1 K 0.000 0.000 0.000
Pa1 Pa 0.462 0.494 0.493
Te1 Te 0.332 0.056 0.332
Te2 Te 0.707 0.000 0.668
S1 S 0.084 0.785 0.422
S2 S 0.329 0.262 0.831
S3 S 0.396 0.819 0.635
S4 S 0.524 0.308 0.237
S5 S 0.637 0.768 0.187
S6 S 0.854 0.279 0.591

***

- What is the formula in the eighth record?
  DyHo6Tl5

***

Repeat the seventh record exactly.
# FeNi2Br PBE optimized geometry
# Uncorrected formation energy in eV per formula unit: 1.37
# Excess energy over the best structure of this formula in the dataset in meV/atom: 70
data_FeNi2Br
_cell_length_a 3.129
_cell_length_b 3.129
_cell_length_c 5.935
_cell_angle_alpha 90.00
_cell_angle_beta 90.00
_cell_angle_gamma 90.00
_symmetry_space_group_name_H-M 'P 4/m m m'
_symmetry_Int_Tables_number 123
_symmetry_space_group_name_Hall '-P 4 2'
loop_
_atom_site_label
_atom_site_type_symbol
_atom_site_fract_x
_atom_site_fract_y
_atom_site_fract_z
Fe1 Fe 0.000 0.000 0.000
Ni1 Ni 0.500 0.500 0.204
Br1 Br 0.000 0.000 0.500